Computed, not measured: crystalline ReH2O at its relaxed geometry at the PBE level of DFT.

Calculated values
Crystal system = tetragonal
Energy above the lowest structure with this stoichiometry = 0 meV/atom

Lattice parameters (Å, degrees): 6.175 6.175 3.757 90.00 90.00 90.00
Space group I-42d (No. 122)
Unique sites:
Re  0.000  0.000  0.000 [4 per cell]
H  0.139  0.750  0.125 [8 per cell]
O  0.000  0.000  0.500 [4 per cell]

Computed, not measured: crystalline ReHO4 at its relaxed geometry at the PBE level of DFT.

Calculated values
Total DFT energy (no corrections) = -41.11 eV per formula unit
Crystal system = orthorhombic

Lattice parameters (Å, degrees): 4.359 4.363 9.108 90.00 90.00 90.00
Space group P222 (No. 16)
Unique sites:
Re  0.000  0.000  0.000 [1 per cell]
Re  0.000  0.500  0.500 [1 per cell]
H  0.000  0.000  0.500 [1 per cell]
H  0.500  0.000  0.000 [1 per cell]
O  0.220  0.244  0.606 [4 per cell]
O  0.256  0.220  0.106 [4 per cell]